1.
Compound: Gd3Ni7B2
Source: the Open Quantum Materials Database
Functional: PBE-GGA
Structure: relaxed

Cell: 5.1226 5.1226 14.3572 Å, 90.00 90.00 120.00°
Fractional coordinates of all 24 atoms:
Gd 0.3333 0.6667 0.0312
Gd 0.3333 0.6667 0.2500
Gd 0.3333 0.6667 0.4688
Gd 0.6667 0.3333 0.5312
Gd 0.6667 0.3333 0.7500
Gd 0.6667 0.3333 0.9688
Ni 0.0000 0.0000 0.0000
Ni 0.0000 0.0000 0.5000
Ni 0.1654 0.3308 0.6502
Ni 0.1654 0.3308 0.8498
Ni 0.1654 0.8346 0.6502
Ni 0.1654 0.8346 0.8498
Ni 0.3308 0.1654 0.1502
Ni 0.3308 0.1654 0.3498
Ni 0.6692 0.8346 0.6502
Ni 0.6692 0.8346 0.8498
Ni 0.8346 0.1654 0.1502
Ni 0.8346 0.1654 0.3498
Ni 0.8346 0.6692 0.1502
Ni 0.8346 0.6692 0.3498
B 0.0000 0.0000 0.2500
B 0.0000 0.0000 0.7500
B 0.3333 0.6667 0.7500
B 0.6667 0.3333 0.2500

Calculated total energy: -72.06 eV per formula unit
Space group: P6_3/mmc (194)
ρ: 9.2 Mg/m³
V: 326.3 Å³/cell

=====

2.
Compound: KTeIrO
Source: the Open Quantum Materials Database
Functional: PBE-GGA
Structure: relaxed

Cell: 4.0360 4.0360 9.2003 Å, 90.00 90.00 90.00°
Fractional coordinates of all 8 atoms:
K 0.2500 0.7500 0.0000
K 0.7500 0.2500 0.0000
Te 0.2500 0.2500 0.2826
Te 0.7500 0.7500 0.7174
Ir 0.2500 0.2500 0.6145
Ir 0.7500 0.7500 0.3855
O 0.2500 0.7500 0.5000
O 0.7500 0.2500 0.5000

Space group: P4/nmm (129)
E above lowest polymorph: 945 meV/atom
ρ: 8.3 Mg/m³
V: 149.9 Å³/cell

=====

3.
Compound: GaPtI7
Source: the Open Quantum Materials Database
Functional: PBE-GGA
Structure: relaxed

Cell: 7.3423 7.0166 16.1603 Å, 90.00 104.86 90.00°
Fractional coordinates of all 18 atoms:
Ga 0.0000 0.0074 0.0000
Ga 0.0000 0.9926 0.5000
Pt 0.7346 0.3822 0.3589
Pt 0.7346 0.6178 0.8589
I 0.0212 0.3695 0.0078
I 0.0212 0.6305 0.5078
I 0.0382 0.1580 0.3582
I 0.0382 0.8420 0.8582
I 0.2356 0.1455 0.6313
I 0.2356 0.8545 0.1313
I 0.4496 0.3985 0.8678
I 0.4496 0.6015 0.3678
I 0.4983 0.1710 0.2381
I 0.4983 0.8290 0.7381
I 0.6720 0.1615 0.4891
I 0.6720 0.8385 0.9891
I 0.8088 0.4068 0.7373
I 0.8088 0.5932 0.2373

Calculated total energy: -21.88 eV per formula unit
Space group: Pc (7)
ρ: 4.8 Mg/m³
V: 804.7 Å³/cell

=====

4.
Compound: HoCuRe
Source: the Open Quantum Materials Database
Functional: PBE-GGA
Structure: relaxed

Cell: 4.5445 4.5445 4.5445 Å, 60.00 60.00 60.00°
Fractional coordinates of all 3 atoms:
Ho 0.0000 0.0000 0.0000
Cu 0.7500 0.7500 0.7500
Re 0.2500 0.2500 0.2500

Calculated total energy: -16.41 eV per formula unit
Space group: F-43m (216)
ρ: 10.4 Mg/m³
V: 66.4 Å³/cell